No. 1
Computed, not measured: a geometry-optimized Sm3NO3 structure at the PBE-GGA level of DFT.

Lattice parameters (Å, degrees): 6.4472 6.4472 6.3734 93.50 93.50 113.43
With the nearest neighbours (Å) after each atom.
Sites, in units of the cell vectors:
Sm 0.0970 0.0970 0.2618  2 N 2.28-2.30, 3 O 2.34-2.52
Sm 0.2163 0.5268 0.7559  2 O 2.19-2.30, 1 N 2.21
Sm 0.4732 0.7837 0.2441  2 O 2.19-2.30, 1 N 2.21
Sm 0.5268 0.2163 0.7559  2 O 2.19-2.30, 1 N 2.21
Sm 0.7837 0.4732 0.2441  2 O 2.19-2.30, 1 N 2.21
Sm 0.9030 0.9030 0.7382  2 N 2.28-2.30, 3 O 2.34-2.52
N 0.1964 0.1964 0.6148  4 Sm 2.21-2.30
N 0.8036 0.8036 0.3852  4 Sm 2.21-2.30
O 0.1697 0.8303 0.0000  4 Sm 2.52-2.55
O 0.2527 0.7473 0.5000  2 Sm 2.19
O 0.4087 0.4087 0.1703  3 Sm 2.30-2.34
O 0.5913 0.5913 0.8297  3 Sm 2.30-2.34
O 0.7473 0.2527 0.5000  2 Sm 2.19
O 0.8303 0.1697 0.0000  4 Sm 2.52-2.55

Output
Uncorrected formation energy ... -2.5038 eV per atom

No. 2
Computed, not measured: a geometry-optimized Y2BeCo structure at the PBE-GGA level of DFT.

Lattice parameters (Å, degrees): 3.8568 5.8259 5.8259 38.68 90.00 90.00
With the nearest neighbours (Å) after each atom.
Sites, in units of the cell vectors:
Y 0.0000 0.0000 0.0000  2 Be 2.85, 4 Co 2.90
Y 0.5000 0.2755 0.2755  2 Co 2.82, 4 Be 2.88
Be 0.0000 0.6906 0.6906  2 Co 2.23
Co 0.5000 0.5887 0.5887  2 Be 2.23

Output
ΔE_f ... -0.140 eV per atom

| no. | DFT total energy (eV/cell) | volume (Å³/f.u.) |
| --- | --- | --- |
| 1 | -109.8 | 121 |
| 2 | -24.3 | 82 |